# LaBi3Se meta-GGA SCAN PBEsol geometry
data_LaBi3Se
_cell_length_a 6.029
_cell_length_b 6.029
_cell_length_c 6.029
_cell_angle_alpha 90.00
_cell_angle_beta 90.00
_cell_angle_gamma 90.00
_symmetry_space_group_name_H-M 'P m -3 m'
_symmetry_Int_Tables_number 221
_symmetry_space_group_name_Hall '-P 4 2 3'
loop_
_atom_site_label
_atom_site_fract_x
_atom_site_fract_y
_atom_site_fract_z
La1 0.000 0.000 0.000
Bi1 0.000 0.000 0.500
Se1 0.500 0.500 0.500
# Formation energy without anion corrections: 780 meV/atom